A relaxed structure of Li2ZrIn. Source: the Alexandria database, functional GGA-PBE.

Unit cell a=2.905 b=4.424 c=6.412 alpha=90.00 beta=90.00 gamma=90.00
Sites, in units of the cell vectors:
Li  0.000  0.000  0.000
Li  0.500  0.500  0.228
Zr  0.000  0.000  0.508
In  0.500  0.500  0.753

Results
- Calculated volume: 20.60 Å³ per atom
- DOS at the Fermi energy: 1.64 states/eV/cell
- Total energy: -0.2791 Ry per atom


A relaxed structure of Pm3GeCl. Source: the Alexandria database, functional GGA-PBE.

Unit cell a=5.055 b=5.055 c=13.653 alpha=90.00 beta=90.00 gamma=120.00
Sites, in units of the cell vectors:
Pm  0.000  0.000  0.250
Pm  0.000  0.000  0.750
Pm  0.333  0.667  0.057
Pm  0.333  0.667  0.443
Pm  0.667  0.333  0.557
Pm  0.667  0.333  0.943
Ge  0.000  0.000  0.000
Ge  0.000  0.000  0.500
Cl  0.333  0.667  0.250
Cl  0.667  0.333  0.750

Results
- Calculated volume: 30.22 Å³ per atom
- DOS at the Fermi energy: 3.49 states/eV/cell
- Uncorrected formation energy: -350 kJ/mol of formula units


A relaxed structure of RbYNF2. Source: the Alexandria database, functional GGA-PBE.

Unit cell a=4.578 b=4.578 c=4.749 alpha=90.00 beta=90.00 gamma=90.00
Sites, in units of the cell vectors:
Rb  0.000  0.000  0.000
Y  0.500  0.500  0.500
N  0.000  0.000  0.500
F  0.000  0.500  0.000
F  0.500  0.000  0.000

Results
- Calculated volume: 19.90 Å³ per atom
- DOS at the Fermi energy: 1.22 states/eV/cell
- Uncorrected formation energy: -273 kJ/mol of formula units